First-principles (PBE-GGA) data for an optimized crystal structure of La3Y13, as listed in the Alexandria database.

Output
crystal system	orthorhombic
formation energy	0.0153	eV per atom
symmetry	Amm2 (38)
calculated volume	537.8	Å³/cell

The structure in POSCAR format:
```
La3Y13
1.0
-0.687 -0.026 7.327
-4.977 -6.960 -0.492
7.397 -4.276 0.678
Y La
13 3
Cartesian
0.159 -5.754 5.538 Y
-1.292 -8.966 5.385 Y
0.779 -2.762 3.759 Y
0.503 -5.741 1.874 Y
-2.369 -6.394 -0.245 Y
1.123 -2.721 0.096 Y
-2.141 -3.417 1.640 Y
-2.710 -6.407 3.418 Y
-2.484 -3.430 5.293 Y
2.323 -8.293 0.188 Y
1.967 -8.280 3.850 Y
3.420 -5.077 3.998 Y
-0.949 -8.952 1.732 Y
6.390 -4.403 6.109 La
6.730 -4.389 2.481 La
3.785 -5.059 0.337 La
```

First-principles (PBE-GGA) data for an optimized crystal structure of CeTmInCu, as listed in the Alexandria database.

Output
crystal system	cubic
formation energy	-0.1919	eV per atom
symmetry	F-43m (216)
calculated volume	99.1	Å³/cell

The structure in POSCAR format:
```
CeTmInCu
1.0
-5.148 -0.434 -0.537
-2.330 -4.555 0.899
-3.007 -0.596 4.193
Cu Tm Ce In
1 1 1 1
Cartesian
-7.864 -4.189 3.417 Cu
-5.243 -2.792 2.278 Tm
0.000 0.000 0.000 Ce
-2.621 -1.396 1.139 In
```

First-principles (PBE-GGA) data for an optimized crystal structure of InSiIO2, as listed in the Alexandria database.

Output
crystal system	tetragonal
symmetry	P4/mmm (123)
energy relative to the elements, uncorrected	-1.9	eV per formula unit
calculated volume	83.7	Å³/cell

The structure in POSCAR format:
```
InSiIO2
1.0
-0.554 -3.046 2.488
2.334 -2.277 -2.268
4.231 1.532 2.817
O In Si I
2 1 1 1
Cartesian
-0.277 -1.523 1.244 O
1.167 -1.138 -1.134 O
3.006 -1.895 1.519 In
0.000 0.000 0.000 Si
2.116 0.766 1.408 I
```

First-principles (PBE-GGA) data for an optimized crystal structure of TaNb6Pd, as listed in the Alexandria database.

Output
crystal system	cubic
formation energy	-0.0635	eV per atom
symmetry	Pm-3 (200)
calculated volume	145.3	Å³/cell

The structure in POSCAR format:
```
TaNb6Pd
1.0
7.431 0.004 0.091
3.710 6.440 0.019
3.672 2.158 3.073
Nb Pd Ta
6 1 1
Cartesian
2.779 0.543 0.793 Nb
12.039 4.846 2.407 Nb
9.253 6.452 2.364 Nb
2.775 3.757 0.777 Nb
12.035 8.060 2.391 Nb
5.560 2.151 0.820 Nb
0.000 0.000 0.000 Pd
7.407 4.301 1.592 Ta
```

First-principles (PBE-GGA) data for an optimized crystal structure of InReRu2, as listed in the Alexandria database.

Output
crystal system	tetragonal
formation energy	0.2934	eV per atom
symmetry	P4mm (99)
calculated volume	63.0	Å³/cell

The structure in POSCAR format:
```
InReRu2
1.0
2.837 0.000 0.000
0.000 2.837 0.000
0.000 0.000 7.831
Ru In Re
2 1 1
Cartesian
0.000 0.000 7.819 Ru
1.418 1.418 1.815 Ru
0.000 0.000 3.869 In
1.418 1.418 6.075 Re
```

First-principles (PBE-GGA) data for an optimized crystal structure of Er6AlS4, as listed in the Alexandria database.

Output
crystal system	orthorhombic
symmetry	Cmcm (63)
energy relative to the elements, uncorrected	-16.7	eV per formula unit
calculated volume	492.3	Å³/cell

The structure in POSCAR format:
```
Er6AlS4
1.0
-1.601 3.277 -1.231
-3.223 -5.020 -3.153
-13.118 -0.857 14.775
Er S Al
12 8 2
Cartesian
-15.463 -2.156 8.349 Er
-8.404 -0.551 3.443 Er
-6.045 -2.538 1.104 Er
-4.124 -0.271 -1.378 Er
-0.800 1.639 -0.616 Er
-4.807 -0.596 4.664 Er
-9.538 -2.049 6.948 Er
-11.897 -0.062 9.287 Er
-13.135 -2.004 5.727 Er
-13.818 -2.329 11.769 Er
-7.359 1.210 6.772 Er
-2.479 -0.444 2.042 Er
-4.894 -2.873 -1.285 S
-9.687 0.493 7.891 S
-10.778 -1.268 4.621 S
-7.164 -1.332 5.770 S
-13.047 0.274 11.676 S
-8.255 -3.093 2.500 S
-16.318 -1.630 10.861 S
-1.624 -0.970 -0.470 S
-12.512 -2.890 8.577 Al
-5.430 0.290 1.814 Al
```

First-principles (PBE-GGA) data for an optimized crystal structure of Ho2GaP, as listed in the Alexandria database.

Output
crystal system	trigonal
formation energy	-0.9299	eV per atom
symmetry	R3m (160)
calculated volume	97.2	Å³/cell

The structure in POSCAR format:
```
Ho2GaP
1.0
3.843 0.000 0.000
1.921 3.328 0.000
1.921 1.109 7.605
Ga P Ho
1 1 2
Cartesian
3.843 2.219 3.812 Ga
5.764 3.328 7.584 P
1.921 1.109 5.984 Ho
1.921 1.109 1.633 Ho
```

First-principles (PBE-GGA) data for an optimized crystal structure of Li4Mg2Cd, as listed in the Alexandria database.

Output
crystal system	tetragonal
formation energy	0.1781	eV per atom
symmetry	I4/mmm (139)
calculated volume	177.7	Å³/cell

The structure in POSCAR format:
```
Li4Mg2Cd
1.0
4.907 0.000 0.000
0.000 4.907 0.000
2.454 2.454 7.379
Cd Mg Li
1 2 4
Cartesian
0.000 0.000 0.000 Cd
4.907 4.907 5.760 Mg
2.454 2.454 1.619 Mg
2.454 2.454 4.666 Li
2.454 0.000 0.000 Li
0.000 2.454 0.000 Li
4.907 4.907 2.713 Li
```